Record 1
Computed, not measured: a relaxed CsSiSbSe4 crystal at the PBE level of DFT.

Summary:
- ΔE_f (raw) (eV per atom) = -0.63
- VASP energy (eV/atom) = -4.104
- Fermi-level density of states (states/eV per cell) = 0.0

Unit cell a=6.974 b=7.122 c=9.952 alpha=90.00 beta=108.79 gamma=90.00
Space group P2_1/m (No. 11)
Asymmetric unit:
Cs (0.235, 0.250, 0.443) [2 per cell]
Si (0.265, 0.750, 0.165) [2 per cell]
Sb (0.266, 0.250, 0.994) [2 per cell]
Se (0.068, 0.750, 0.929) [2 per cell]
Se (0.075, 0.750, 0.308) [2 per cell]
Se (0.485, 0.002, 0.201) [4 per cell]

---

Record 2
Computed, not measured: a relaxed Cs2SmSbSe4 crystal at the PBE level of DFT.

Summary:
- ΔE_f (raw) (eV per atom) = -1.13
- VASP energy (eV/atom) = -4.188

Unit cell a=9.079 b=9.234 c=12.949 alpha=90.00 beta=90.00 gamma=90.00
Space group Imma (No. 74)
Asymmetric unit:
Cs (0.000, 0.000, 0.000) [4 per cell]
Cs (0.250, 0.250, 0.250) [4 per cell]
Sm (0.250, 0.250, 0.750) [4 per cell]
Sb (0.000, 0.000, 0.500) [4 per cell]
Se (0.000, 0.040, 0.729) [8 per cell]
Se (0.210, 0.250, 0.520) [8 per cell]

---

Record 3
Computed, not measured: a relaxed Cs3SmSb2Se6 crystal at the PBE level of DFT.

Summary:
- ΔE_f (raw) (eV per atom) = -1.02
- VASP energy (eV/atom) = -4.058

Unit cell a=7.508 b=13.004 c=8.711 alpha=90.00 beta=106.69 gamma=90.00
Space group C2/m (No. 12)
Asymmetric unit:
Cs (0.000, 0.000, 0.000) [2 per cell]
Cs (0.000, 0.333, 0.000) [4 per cell]
Sm (0.000, 0.500, 0.500) [2 per cell]
Sb (0.000, 0.167, 0.500) [4 per cell]
Se (0.226, 0.000, 0.687) [4 per cell]
Se (0.231, 0.332, 0.687) [8 per cell]

---

Record 4
Computed, not measured: a relaxed Cs2SnSbSe4 crystal at the PBE level of DFT.

Summary:
- ΔE_f (raw) (eV per atom) = -0.62
- VASP energy (eV/atom) = -3.595
- Fermi-level density of states (states/eV per cell) = 13.0

Unit cell a=7.124 b=15.763 c=23.639 alpha=90.00 beta=90.00 gamma=90.00
Space group Fddd (No. 70, origin choice 2)
Asymmetric unit:
Cs (0.125, 0.125, 0.313) [16 per cell]
Sn (0.125, 0.125, 0.625) [8 per cell]
Sb (0.125, 0.125, 0.125) [8 per cell]
Se (0.096, 0.278, 0.440) [32 per cell]

---

Record 5
Computed, not measured: a relaxed CsSnSbSe3 crystal at the PBE level of DFT.

Summary:
- ΔE_f (raw) (eV per atom) = -0.61
- VASP energy (eV/atom) = -3.851

Unit cell a=9.310 b=4.218 c=11.811 alpha=90.00 beta=111.64 gamma=90.00
Space group P2_1/m (No. 11)
Asymmetric unit:
Cs (0.226, 0.250, 0.267) [2 per cell]
Sn (0.141, 0.250, 0.563) [2 per cell]
Sb (0.370, 0.750, 0.853) [2 per cell]
Se (0.134, 0.250, 0.789) [2 per cell]
Se (0.347, 0.750, 0.588) [2 per cell]
Se (0.399, 0.750, 0.094) [2 per cell]

---

Record 6
Computed, not measured: a relaxed CsSr2SbSe4 crystal at the PBE level of DFT.

Summary:
- ΔE_f (raw) (eV per atom) = -1.18
- VASP energy (eV/atom) = -3.963

Unit cell a=8.938 b=9.185 c=12.762 alpha=90.00 beta=90.00 gamma=90.00
Space group Imma (No. 74)
Asymmetric unit:
Cs (0.250, 0.250, 0.250) [4 per cell]
Sr (0.000, 0.000, 0.000) [4 per cell]
Sr (0.250, 0.250, 0.750) [4 per cell]
Sb (0.000, 0.000, 0.500) [4 per cell]
Se (0.000, 0.025, 0.732) [8 per cell]
Se (0.237, 0.250, 0.511) [8 per cell]

---

Record 7
Computed, not measured: a relaxed CsSrSbSe2 crystal at the PBE level of DFT.

Summary:
- ΔE_f (raw) (eV per atom) = -0.44
- VASP energy (eV/atom) = -3.163
- Fermi-level density of states (states/eV per cell) = 1.1

Unit cell a=5.850 b=5.850 c=5.910 alpha=90.00 beta=90.00 gamma=90.00
Space group P4/mmm (No. 123)
Asymmetric unit:
Cs (0.000, 0.000, 0.000) [1 per cell]
Sr (0.500, 0.500, 0.000) [1 per cell]
Sb (0.500, 0.500, 0.500) [1 per cell]
Se (0.000, 0.500, 0.500) [2 per cell]

---

Record 8
Computed, not measured: a relaxed CsSrSbSe4 crystal at the PBE level of DFT.

Summary:
- ΔE_f (raw) (eV per atom) = -0.99
- VASP energy (eV/atom) = -3.927

Unit cell a=7.391 b=7.425 c=9.946 alpha=90.00 beta=107.14 gamma=90.00
Space group P2_1/m (No. 11)
Asymmetric unit:
Cs (0.244, 0.250, 0.438) [2 per cell]
Sr (0.263, 0.250, 0.947) [2 per cell]
Sb (0.286, 0.750, 0.173) [2 per cell]
Se (0.083, 0.750, 0.923) [2 per cell]
Se (0.084, 0.750, 0.336) [2 per cell]
Se (0.491, 0.513, 0.787) [4 per cell]

---

Record 9
Computed, not measured: a relaxed CsSrSbSe3 crystal at the PBE level of DFT.

Summary:
- ΔE_f (raw) (eV per atom) = -1.02
- VASP energy (eV/atom) = -3.873
- Fermi-level density of states (states/eV per cell) = 8.9

Unit cell a=20.085 b=4.995 c=9.595 alpha=90.00 beta=108.33 gamma=90.00
Space group C2/m (No. 12)
Asymmetric unit:
Cs (0.144, 0.000, 0.051) [4 per cell]
Sr (0.171, 0.000, 0.534) [4 per cell]
Sb (0.015, 0.500, 0.662) [4 per cell]
Se (0.021, 0.000, 0.280) [4 per cell]
Se (0.149, 0.500, 0.747) [4 per cell]
Se (0.171, 0.500, 0.339) [4 per cell]

---

Record 10
Computed, not measured: a relaxed Cs2SrSbSe4 crystal at the PBE level of DFT.

Summary:
- ΔE_f (raw) (eV per atom) = -0.93
- VASP energy (eV/atom) = -3.607
- Fermi-level density of states (states/eV per cell) = 44.8

Unit cell a=7.118 b=15.393 c=26.953 alpha=90.00 beta=90.00 gamma=90.00
Space group Fddd (No. 70, origin choice 2)
Asymmetric unit:
Cs (0.125, 0.125, 0.309) [16 per cell]
Sr (0.125, 0.125, 0.125) [8 per cell]
Sb (0.125, 0.125, 0.625) [8 per cell]
Se (0.092, 0.268, 0.823) [32 per cell]

---

Record 11
Computed, not measured: a relaxed CsTaSbSe6 crystal at the PBE level of DFT.

Summary:
- ΔE_f (raw) (eV per atom) = -0.55
- VASP energy (eV/atom) = -4.741
- Fermi-level density of states (states/eV per cell) = 4.0

Unit cell a=6.584 b=7.165 c=7.871 alpha=83.44 beta=79.72 gamma=68.37
Space group P1 (No. 1)
Asymmetric unit:
Cs (0.000, 0.000, 0.000) [1 per cell]
Ta (0.328, 0.289, 0.503) [1 per cell]
Sb (0.580, 0.720, 0.516) [1 per cell]
Se (0.254, 0.614, 0.664) [1 per cell]
Se (0.319, 0.475, 0.190) [1 per cell]
Se (0.432, 0.009, 0.283) [1 per cell]
Se (0.531, 0.034, 0.715) [1 per cell]
Se (0.654, 0.399, 0.303) [1 per cell]
Se (0.944, 0.344, 0.612) [1 per cell]

---

Record 12
Computed, not measured: a relaxed CsSb2Te2Se crystal at the PBE level of DFT.

Summary:
- ΔE_f (raw) (eV per atom) = -0.35
- VASP energy (eV/atom) = -3.494
- Fermi-level density of states (states/eV per cell) = 4.8

Unit cell a=7.637 b=7.652 c=8.366 alpha=90.00 beta=93.28 gamma=90.00
Space group P2_1/m (No. 11)
Asymmetric unit:
Cs (0.155, 0.250, 0.363) [2 per cell]
Sb (0.301, 0.017, 0.925) [4 per cell]
Te (0.034, 0.750, 0.110) [2 per cell]
Te (0.349, 0.750, 0.691) [2 per cell]
Se (0.443, 0.250, 0.728) [2 per cell]